CdInCu2 | PBE-GGA | optimized geometry

a = 3.9914 Å, b = 3.9914 Å, c = 8.5304 Å
α = 90.00°, β = 90.00°, γ = 90.00°
With the nearest neighbours (Å) after each atom.
Space group I-4m2 (No. 119)
Symmetry-distinct sites (fractional):
Cd  0.0000  0.0000  0.0000 (multiplicity 2)  8 Cu 2.82-2.92, 4 In 2.92
In  0.0000  0.5000  0.2500 (multiplicity 2)  8 Cu 2.82-2.92, 4 Cd 2.92
Cu  0.0000  0.0000  0.5000 (multiplicity 2)  4 Cd 2.82, 4 In 2.92, 4 Cu 2.92
Cu  0.0000  0.5000  0.7500 (multiplicity 2)  4 In 2.82, 4 Cd 2.92, 4 Cu 2.92

Magnetic moment in μB per formula unit: 0.0
E_form in kJ/mol of formula units: 50